A plane-wave DFT calculation with PBE-GGA was carried out for a geometry-optimized Ca3Ga2Au structure.

Geometry as extended XYZ:
```
6
Lattice="3.687 0.000 0.000 0.000 4.882 -1.616 0.000 0.006 8.199" Properties=species:S:1:pos:R:3 pbc="T T T"
Ca 1.843 2.441 -0.808
Ca 1.843 4.098 4.196
Ca 1.843 0.790 2.387
Ga 0.000 1.588 4.797
Ga 3.687 3.300 1.786
Au 0.000 0.000 0.000
```

Computed properties:
Energy of formation from the pure elements: -0.5565 eV per atom
M_tot: 0.00 Bohr magnetons per cell
D(E_F): 0.549 states/eV/atom



A plane-wave DFT calculation with PBE-GGA was carried out for a geometry-optimized Pm3HoPt3 structure.

Geometry as extended XYZ:
```
14
Lattice="6.993 1.164 0.342 -2.073 6.779 0.342 -0.353 -0.569 7.206" Properties=species:S:1:pos:R:3 pbc="T T T"
Pm 3.136 5.064 3.184
Pm -0.658 5.509 3.945
Pm 5.225 1.865 3.945
Pm 0.202 5.370 0.342
Pm 4.717 2.573 0.342
Pm 1.431 2.310 4.706
Ho 3.371 5.442 6.860
Ho 1.196 1.932 1.031
Pt 4.553 7.352 2.014
Pt 5.490 4.168 5.658
Pt 1.286 6.772 5.658
Pt -0.922 3.206 2.233
Pt 3.282 0.603 2.233
Pt 0.014 0.022 5.877
```

Computed properties:
Energy of formation from the pure elements: -0.9490 eV per atom
M_tot: 0.00 Bohr magnetons per cell
D(E_F): 0.752 states/eV/atom